First-principles (PBE+U) data for crystalline RbFeRe2O8 at its relaxed geometry, as listed in Alexandria.

* total magnetic moment: 0.2461 μB per atom
* symmetry: R-3m, No. 166
* crystal system: trigonal
* electronic total energy: -90.4 eV per cell

Unit cell a=9.2985 b=9.2985 c=9.2985 alpha=36.73 beta=36.73 gamma=36.73
Last column: nearest neighbours and their distance in Å.
Sites, in units of the cell vectors:
Rb 0.0000 0.0000 0.0000  6 O 3.47
Fe 0.5000 0.5000 0.5000  6 O 2.10
Re 0.2360 0.2360 0.2360  4 O 1.77
Re 0.7640 0.7640 0.7640  4 O 1.77
O 0.1166 0.6214 0.6214  1 Re 1.77
O 0.3041 0.3041 0.3041  1 Re 1.77
O 0.3786 0.3786 0.8834  1 Re 1.77
O 0.3786 0.8834 0.3786  1 Re 1.77
O 0.6214 0.1166 0.6214  1 Re 1.77
O 0.6214 0.6214 0.1166  1 Re 1.77
O 0.6959 0.6959 0.6959  1 Re 1.77
O 0.8834 0.3786 0.3786  1 Re 1.77